Compound: AcIn12Sn6
Source: Alexandria
Functional: PBE-GGA
Structure: relaxed

POSCAR file:
```
AcIn12Sn6
1.0
-0.095 8.634 1.273
-5.062 -3.407 6.240
8.130 -2.608 1.807
Sn In Ac
6 12 1
Direct
0.303 0.720 0.303 Sn
0.697 0.280 0.697 Sn
0.720 0.303 0.303 Sn
0.280 0.697 0.697 Sn
0.303 0.303 0.720 Sn
0.697 0.697 0.280 Sn
0.108 0.892 0.500 In
0.130 0.368 0.368 In
0.892 0.500 0.108 In
0.632 0.870 0.632 In
0.500 0.108 0.892 In
0.632 0.632 0.870 In
0.368 0.130 0.368 In
0.870 0.632 0.632 In
0.108 0.500 0.892 In
0.368 0.368 0.130 In
0.500 0.892 0.108 In
0.892 0.108 0.500 In
0.000 0.000 0.000 Ac
```

Summary:
- crystal system = trigonal
- formation energy (eV/atom) = 0.03

Compound: Ac6In2Sn3
Source: Alexandria
Functional: PBE-GGA
Structure: relaxed

POSCAR file:
```
Ac6In2Sn3
1.0
6.424 0.000 0.000
0.000 6.424 0.000
-3.212 -3.212 11.078
Sn Ac In
3 6 2
Direct
0.000 0.000 0.000 Sn
0.857 0.857 0.714 Sn
0.143 0.143 0.286 Sn
0.412 0.912 0.824 Ac
0.588 0.088 0.176 Ac
0.712 0.712 0.424 Ac
0.288 0.288 0.576 Ac
0.088 0.588 0.176 Ac
0.912 0.412 0.824 Ac
0.437 0.437 0.875 In
0.563 0.563 0.125 In
```

Summary:
- crystal system = tetragonal
- formation energy (eV/atom) = -0.16